Entry 1:
This record from Alexandria describes crystalline Zr2Se3 at its relaxed geometry. The functional is PBE.

a = 11.134 Å, b = 11.795 Å, c = 7.690 Å
α = 90.00°, β = 90.00°, γ = 90.00°
Space group Fdd2 (No. 43)
Unique sites:
Zr: 0.047 0.131 0.000 [16 per cell]
Se: 0.000 0.000 0.704 [8 per cell]
Se: 0.070 0.191 0.339 [16 per cell]

Properties
**Formation energy (no corrections)**: -6.33 eV/f.u.
**Calculated volume**: 25.2 A^3/atom

---

Entry 2:
This record from Alexandria describes crystalline ZrSe3 at its relaxed geometry. The functional is PBE.

a = 7.223 Å, b = 7.941 Å, c = 6.563 Å
α = 90.00°, β = 90.00°, γ = 90.00°
Space group Pnma (No. 62)
Unique sites:
Zr: 0.165 0.250 0.034 [4 per cell]
Se: 0.025 0.250 0.666 [4 per cell]
Se: 0.120 0.560 0.800 [8 per cell]

Properties
**Formation energy (no corrections)**: -3.42 eV/f.u.
**Calculated volume**: 23.5 A^3/atom

---

Entry 3:
This record from Alexandria describes crystalline Zr5Se at its relaxed geometry. The functional is PBE.

a = 4.994 Å, b = 3.637 Å, c = 14.342 Å
α = 90.00°, β = 90.00°, γ = 90.00°
Space group Amm2 (No. 38)
Unique sites:
Zr: 0.000 0.000 0.000 [2 per cell]
Zr: 0.000 0.000 0.325 [2 per cell]
Zr: 0.500 0.000 0.167 [2 per cell]
Zr: 0.500 0.000 0.499 [2 per cell]
Zr: 0.500 0.000 0.839 [2 per cell]
Se: 0.000 0.000 0.660 [2 per cell]

Properties
**Formation energy (no corrections)**: -1.38 eV/f.u.
**Calculated volume**: 21.7 A^3/atom

---

Entry 4:
This record from Alexandria describes crystalline Zr5Se at its relaxed geometry. The functional is PBE.

a = 10.549 Å, b = 3.353 Å, c = 7.772 Å
α = 90.00°, β = 102.16°, γ = 90.00°
Space group Cm (No. 8)
Unique sites:
Zr: 0.000 0.000 0.000 [2 per cell]
Zr: 0.047 0.000 0.400 [2 per cell]
Zr: 0.145 0.500 0.734 [2 per cell]
Zr: 0.252 0.500 0.250 [2 per cell]
Zr: 0.359 0.000 0.615 [2 per cell]
Se: 0.286 0.000 0.978 [2 per cell]

Properties
**Formation energy (no corrections)**: -2.06 eV/f.u.
**Calculated volume**: 22.4 A^3/atom

---

Entry 5:
This record from Alexandria describes crystalline Zr5Se at its relaxed geometry. The functional is PBE.

a = 3.271 Å, b = 3.271 Å, c = 12.484 Å
α = 90.00°, β = 90.00°, γ = 90.00°
Space group P4/mmm (No. 123)
Unique sites:
Zr: 0.000 0.000 0.000 [1 per cell]
Zr: 0.000 0.000 0.356 [2 per cell]
Zr: 0.500 0.500 0.175 [2 per cell]
Se: 0.500 0.500 0.500 [1 per cell]

Properties
**Formation energy (no corrections)**: -1.64 eV/f.u.
**Calculated volume**: 22.3 A^3/atom

---

Entry 6:
This record from Alexandria describes crystalline Zr2Se at its relaxed geometry. The functional is PBE.

a = 6.331 Å, b = 6.331 Å, c = 6.136 Å
α = 90.00°, β = 90.00°, γ = 90.00°
Space group I4/mcm (No. 140)
Unique sites:
Zr: 0.161 0.339 0.000 [8 per cell]
Se: 0.000 0.000 0.250 [4 per cell]

Properties
**Formation energy (no corrections)**: -2.46 eV/f.u.
**Calculated volume**: 20.5 A^3/atom

---

- Which formula does entry 1 have?
  Zr2Se3